First-principles (PBE) data for LaDy2Ge after structural relaxation, as listed in Alexandria via LeMat-Bulk.

Calculated values
The formation energy comes out at -326 meV/atom. The density is 8.35 g/cm³. The calculation puts the uncorrected energy at -5.013 eV per atom. For the excess energy over the best structure of this formula in the dataset, the calculation gives 0.000 eV per atom.

CIF file:
```
data_LaDy2Ge
_symmetry_space_group_name_H-M 'P 4/m m m'
_symmetry_Int_Tables_number 123
_symmetry_space_group_name_Hall '-P 4 2'
_cell_length_a 4.786
_cell_length_b 4.786
_cell_length_c 4.660
_cell_angle_alpha 90.00
_cell_angle_beta 90.00
_cell_angle_gamma 90.00
loop_
_atom_site_label
_atom_site_type_symbol
_atom_site_fract_x
_atom_site_fract_y
_atom_site_fract_z
La1 La 0.000 0.000 0.000
Dy1 Dy 0.000 0.500 0.500
Ge1 Ge 0.500 0.500 0.000
```

***

First-principles (PBE) data for LaDy2Ge2 after structural relaxation, as listed in Alexandria via LeMat-Bulk.

Calculated values
The formation energy comes out at -593 meV/atom. The density is 7.48 g/cm³. The calculation puts the uncorrected energy at -5.267 eV per atom.

CIF file:
```
data_LaDy2Ge2
_symmetry_space_group_name_H-M 'C 1 2/m 1'
_symmetry_Int_Tables_number 12
_cell_length_a 12.349
_cell_length_b 3.869
_cell_length_c 5.787
_cell_angle_alpha 90.00
_cell_angle_beta 102.00
_cell_angle_gamma 90.00
loop_
_symmetry_equiv_pos_as_xyz
'x,y,z'
'-x,-y,-z'
'-x,y,-z'
'x,-y,z'
'x+1/2,y+1/2,z'
'-x+1/2,-y+1/2,-z'
'-x+1/2,y+1/2,-z'
'x+1/2,-y+1/2,z'
loop_
_atom_site_label
_atom_site_type_symbol
_atom_site_fract_x
_atom_site_fract_y
_atom_site_fract_z
La1 La 0.000 0.000 0.000
Dy1 Dy 0.141 0.500 0.568
Ge1 Ge 0.212 0.500 0.114
```

***

First-principles (PBE) data for LaDy2Ge after structural relaxation, as listed in Alexandria via LeMat-Bulk.

Calculated values
The formation energy comes out at -253 meV/atom. The density is 6.88 g/cm³. The calculation puts the uncorrected energy at -4.940 eV per atom. For the excess energy over the best structure of this formula in the dataset, the calculation gives 0.073 eV per atom.

CIF file:
```
data_LaDy2Ge
_symmetry_space_group_name_H-M 'R 3 m'
_symmetry_Int_Tables_number 160
_symmetry_space_group_name_Hall 'R 3 -2"'
_cell_length_a 4.0126
_cell_length_b 4.0126
_cell_length_c 27.8555
_cell_angle_alpha 90.00
_cell_angle_beta 90.00
_cell_angle_gamma 120.00
loop_
_atom_site_label
_atom_site_type_symbol
_atom_site_fract_x
_atom_site_fract_y
_atom_site_fract_z
La1 La 0.0000 0.0000 0.0000
Dy1 Dy 0.0000 0.0000 0.2284
Dy2 Dy 0.0000 0.0000 0.4443
Ge1 Ge 0.0000 0.0000 0.8370
```

***

First-principles (PBE) data for La3DyGe4 after structural relaxation, as listed in Alexandria via LeMat-Bulk.

Calculated values
The formation energy comes out at -704 meV/atom. The density is 6.25 g/cm³. The calculation puts the uncorrected energy at -5.436 eV per atom.

CIF file:
```
data_La3DyGe4
_symmetry_space_group_name_H-M 'I m m m'
_symmetry_Int_Tables_number 71
_symmetry_space_group_name_Hall '-I 2 2'
_cell_length_a 4.293
_cell_length_b 6.482
_cell_length_c 16.609
_cell_angle_alpha 90.00
_cell_angle_beta 90.00
_cell_angle_gamma 90.00
loop_
_atom_site_label
_atom_site_type_symbol
_atom_site_fract_x
_atom_site_fract_y
_atom_site_fract_z
La1 La 0.000 0.000 0.000
La2 La 0.000 0.500 0.197
Dy1 Dy 0.000 0.000 0.500
Ge1 Ge 0.000 0.307 0.372
```

***

First-principles (PBE) data for Li2La2DyGe2 after structural relaxation, as listed in Alexandria via LeMat-Bulk.

Calculated values
The formation energy comes out at -504 meV/atom. The density is 5.91 g/cm³. The calculation puts the uncorrected energy at -4.435 eV per atom.

CIF file:
```
data_Li2La2DyGe2
_symmetry_space_group_name_H-M 'R -3 m'
_symmetry_Int_Tables_number 166
_symmetry_space_group_name_Hall '-R 3 2"'
_cell_length_a 4.4788
_cell_length_b 4.4788
_cell_length_c 29.0767
_cell_angle_alpha 90.00
_cell_angle_beta 90.00
_cell_angle_gamma 120.00
loop_
_atom_site_label
_atom_site_type_symbol
_atom_site_fract_x
_atom_site_fract_y
_atom_site_fract_z
Li1 Li 0.0000 0.0000 0.1133
La1 La 0.0000 0.0000 0.3762
Dy1 Dy 0.0000 0.0000 0.5000
Ge1 Ge 0.0000 0.0000 0.2268
```

***

First-principles (PBE) data for Li2LaDy2Ge2 after structural relaxation, as listed in Alexandria via LeMat-Bulk.

Calculated values
The formation energy comes out at -501 meV/atom. The density is 6.37 g/cm³. The calculation puts the uncorrected energy at -4.385 eV per atom.

CIF file:
```
data_Li2LaDy2Ge2
_symmetry_space_group_name_H-M 'R -3 m'
_symmetry_Int_Tables_number 166
_symmetry_space_group_name_Hall '-R 3 2"'
_cell_length_a 4.5507
_cell_length_b 4.5507
_cell_length_c 27.1818
_cell_angle_alpha 90.00
_cell_angle_beta 90.00
_cell_angle_gamma 120.00
loop_
_atom_site_label
_atom_site_type_symbol
_atom_site_fract_x
_atom_site_fract_y
_atom_site_fract_z
Li1 Li 0.0000 0.0000 0.0901
La1 La 0.0000 0.0000 0.5000
Dy1 Dy 0.0000 0.0000 0.3708
Ge1 Ge 0.0000 0.0000 0.2428
```

***

First-principles (PBE) data for LaDyMgGe after structural relaxation, as listed in Alexandria via LeMat-Bulk.

Calculated values
The formation energy comes out at -375 meV/atom. The density is 6.39 g/cm³. The calculation puts the uncorrected energy at -4.310 eV per atom.

CIF file:
```
data_LaDyMgGe
_symmetry_space_group_name_H-M 'F -4 3 m'
_symmetry_Int_Tables_number 216
_symmetry_space_group_name_Hall 'F -4 2 3'
_cell_length_a 7.452
_cell_length_b 7.452
_cell_length_c 7.452
_cell_angle_alpha 90.00
_cell_angle_beta 90.00
_cell_angle_gamma 90.00
loop_
_atom_site_label
_atom_site_type_symbol
_atom_site_fract_x
_atom_site_fract_y
_atom_site_fract_z
La1 La 0.000 0.000 0.000
Dy1 Dy 0.000 0.000 0.500
Mg1 Mg 0.250 0.250 0.250
Ge1 Ge 0.250 0.250 0.750
```

***

First-principles (PBE) data for La2Dy2Ge2N after structural relaxation, as listed in Alexandria via LeMat-Bulk.

Calculated values
The calculation puts the energy relative to the elements, uncorrected at -1.06 eV/atom. The density is 7.22 g/cm³. The calculation puts the uncorrected energy at -6.289 eV per atom.

CIF file:
```
data_La2Dy2Ge2N
_symmetry_space_group_name_H-M 'I 4/m m m'
_symmetry_Int_Tables_number 139
_symmetry_space_group_name_Hall '-I 4 2'
_cell_length_a 4.658
_cell_length_b 4.658
_cell_length_c 16.157
_cell_angle_alpha 90.00
_cell_angle_beta 90.00
_cell_angle_gamma 90.00
loop_
_atom_site_label
_atom_site_type_symbol
_atom_site_fract_x
_atom_site_fract_y
_atom_site_fract_z
La1 La 0.000 0.000 0.170
Dy1 Dy 0.000 0.500 0.000
Ge1 Ge 0.000 0.000 0.369
N1 N 0.000 0.000 0.000
```